Compound: SmTmNiRh
Source: the Alexandria database
Functional: PBE
Structure: relaxed

Lattice parameters (Å, degrees): 4.1163 3.8216 10.6445 90.00 90.00 90.00
Sites, in units of the cell vectors:
Sm 0.0000 0.0000 0.0000
Sm 0.0000 0.5000 0.5000
Tm 0.5000 0.0000 0.7182
Tm 0.5000 0.5000 0.2182
Ni 0.5000 0.0000 0.4326
Ni 0.5000 0.5000 0.9326
Rh 0.0000 0.0000 0.2752
Rh 0.0000 0.5000 0.7752

Values from the calculation:
* symmetry: Amm2 (38)
* E_form: -0.6287 eV/atom

Compound: SmZnNiRh
Source: the Alexandria database
Functional: PBE
Structure: relaxed

Lattice parameters (Å, degrees): 6.4845 6.4845 6.4845 90.00 90.00 90.00
Sites, in units of the cell vectors:
Sm 0.0000 0.0000 0.0000
Sm 0.0000 0.5000 0.5000
Sm 0.5000 0.0000 0.5000
Sm 0.5000 0.5000 0.0000
Zn 0.0000 0.0000 0.5000
Zn 0.0000 0.5000 0.0000
Zn 0.5000 0.0000 0.0000
Zn 0.5000 0.5000 0.5000
Ni 0.2500 0.2500 0.7500
Ni 0.2500 0.7500 0.2500
Ni 0.7500 0.2500 0.2500
Ni 0.7500 0.7500 0.7500
Rh 0.2500 0.2500 0.2500
Rh 0.2500 0.7500 0.7500
Rh 0.7500 0.2500 0.7500
Rh 0.7500 0.7500 0.2500

Values from the calculation:
* symmetry: F-43m (216)
* E_form: -0.3657 eV/atom

Compound: Sm2Zn5Ni2Rh
Source: the Alexandria database
Functional: PBE
Structure: relaxed

Lattice parameters (Å, degrees): 9.2289 9.2289 3.9891 90.00 90.00 90.00
Sites, in units of the cell vectors:
Sm 0.1839 0.3161 0.0000
Sm 0.3161 0.8161 0.0000
Sm 0.6839 0.1839 0.0000
Sm 0.8161 0.6839 0.0000
Zn 0.0000 0.5000 0.5000
Zn 0.0538 0.8005 0.5000
Zn 0.1995 0.0538 0.5000
Zn 0.3005 0.5538 0.5000
Zn 0.4462 0.3005 0.5000
Zn 0.5000 0.0000 0.5000
Zn 0.5538 0.6995 0.5000
Zn 0.6995 0.4462 0.5000
Zn 0.8005 0.9462 0.5000
Zn 0.9462 0.1995 0.5000
Ni 0.1112 0.6112 0.0000
Ni 0.3888 0.1112 0.0000
Ni 0.6112 0.8888 0.0000
Ni 0.8888 0.3888 0.0000
Rh 0.0000 0.0000 0.0000
Rh 0.5000 0.5000 0.0000

Values from the calculation:
* symmetry: P4/mbm (127)
* E_form: -0.3290 eV/atom

Compound: Sm2ZnNi5Rh2
Source: the Alexandria database
Functional: PBE
Structure: relaxed

Lattice parameters (Å, degrees): 9.2161 9.2161 3.7403 90.00 90.00 90.00
Sites, in units of the cell vectors:
Sm 0.1706 0.3294 0.0000
Sm 0.3294 0.8294 0.0000
Sm 0.6706 0.1706 0.0000
Sm 0.8294 0.6706 0.0000
Zn 0.0000 0.0000 0.0000
Zn 0.5000 0.5000 0.0000
Ni 0.0000 0.5000 0.5000
Ni 0.0561 0.8116 0.5000
Ni 0.1884 0.0561 0.5000
Ni 0.3116 0.5561 0.5000
Ni 0.4439 0.3116 0.5000
Ni 0.5000 0.0000 0.5000
Ni 0.5561 0.6884 0.5000
Ni 0.6884 0.4439 0.5000
Ni 0.8116 0.9439 0.5000
Ni 0.9439 0.1884 0.5000
Rh 0.1299 0.6299 0.0000
Rh 0.3701 0.1299 0.0000
Rh 0.6299 0.8701 0.0000
Rh 0.8701 0.3701 0.0000

Values from the calculation:
* symmetry: P4/mbm (127)
* E_form: -0.2074 eV/atom

> Which formula does entry 1 have?

SmTmNiRh